# La4Pm2Ho PBE relaxed
# energy relative to the lowest polymorph listed for this composition	116.3	meV/atom
# magnetic moment	0.00	μB/f.u.
# DOS at the Fermi energy	38.0	states/eV per cell
# ΔE_f	0.200	eV/atom
data_La4Pm2Ho
_symmetry_space_group_name_H-M 'I m m a'
_symmetry_Int_Tables_number 74
_symmetry_space_group_name_Hall '-I 2b 2'
_cell_length_a 6.971
_cell_length_b 11.691
_cell_length_c 12.352
_cell_angle_alpha 90.00
_cell_angle_beta 90.00
_cell_angle_gamma 90.00
loop_
_atom_site_label
_atom_site_type_symbol
_atom_site_fract_x
_atom_site_fract_y
_atom_site_fract_z
La1 La 0.000 0.004 0.148
La2 La 0.219 0.250 0.993
Pm1 Pm 0.000 0.000 0.500
Pm2 Pm 0.000 0.250 0.717
Ho1 Ho 0.250 0.250 0.250